DFT (GGA-PBE) results for an optimized crystal structure of RbIrOs.

a = 10.8635 Å, b = 4.2734 Å, c = 8.6413 Å
α = 90.00°, β = 90.00°, γ = 90.00°
Last column: nearest neighbours and their distance in Å.
Fractional positions:
Rb 0.2028 0.2500 0.0046  3 Ir 3.51-3.61, 4 Os 3.58-3.92
Rb 0.2972 0.7500 0.5046  3 Ir 3.51-3.61, 4 Os 3.58-3.92
Rb 0.7028 0.2500 0.4954  3 Ir 3.51-3.61, 4 Os 3.58-3.92
Rb 0.7972 0.7500 0.9954  3 Ir 3.51-3.61, 4 Os 3.58-3.92
Ir 0.0536 0.2500 0.3644  3 Os 2.39-2.40
Ir 0.4464 0.7500 0.8644  3 Os 2.39-2.40
Ir 0.5536 0.2500 0.1356  3 Os 2.39-2.40
Ir 0.9464 0.7500 0.6356  3 Os 2.39-2.40
Os 0.0440 0.2500 0.6417  3 Ir 2.39-2.40
Os 0.4560 0.7500 0.1417  3 Ir 2.39-2.40
Os 0.5440 0.2500 0.8583  3 Ir 2.39-2.40
Os 0.9560 0.7500 0.3583  3 Ir 2.39-2.40

Results
energy above the most stable polymorph in this dataset	516	meV per atom
total energy	-5.96	eV per atom
energy of formation from the pure elements	1.06	eV per atom